# Y3Ge3Rh2 GGA-PBE relaxed
# **Total DFT energy (no corrections)**: -55.69 eV per formula unit
# **Energy relative to the elements**: -0.967 eV/atom
# **Total moment**: 0.0 μB per formula unit
# **Offset from the most stable computed form**: 0.00 kcal/mol of atoms
data_Y3Ge3Rh2
_cell_length_a 4.3106
_cell_length_b 10.5623
_cell_length_c 14.2611
_cell_angle_alpha 90.00
_cell_angle_beta 90.00
_cell_angle_gamma 90.00
_space_group_name_H-M_alt 'C m c m'
_space_group_IT_number 63
_space_group_name_Hall '-C 2c 2'
loop_
_atom_site_label
_atom_site_type_symbol
_atom_site_fract_x
_atom_site_fract_y
_atom_site_fract_z
Y1 Y 0.0000 0.0833 0.1104
Y2 Y 0.0000 0.3571 0.2500
Ge1 Ge 0.0000 0.3437 0.7500
Ge2 Ge 0.0000 0.3803 0.0374
Rh1 Rh 0.0000 0.2038 0.5984

# Sr2BeCu3As4 GGA-PBE relaxed
# **Total DFT energy (no corrections)**: -43.03 eV per formula unit
# **Energy relative to the elements**: -0.505 eV/atom
# **Total moment**: 0.0 μB per formula unit
data_Sr2BeCu3As4
_cell_length_a 4.2989
_cell_length_b 4.2989
_cell_length_c 10.1843
_cell_angle_alpha 90.00
_cell_angle_beta 90.00
_cell_angle_gamma 90.00
_space_group_name_H-M_alt 'P -4 m 2'
_space_group_IT_number 115
loop_
_space_group_symop_operation_xyz
'x,y,z'
'y,-x,-z'
'-x,-y,z'
'-y,x,-z'
'-x,y,z'
'-y,-x,-z'
'x,-y,z'
'y,x,-z'
loop_
_atom_site_label
_atom_site_type_symbol
_atom_site_fract_x
_atom_site_fract_y
_atom_site_fract_z
Sr1 Sr 0.0000 0.5000 0.2501
Be1 Be 0.0000 0.0000 0.5000
Cu1 Cu 0.0000 0.5000 0.8715
Cu2 Cu 0.5000 0.5000 0.5000
As1 As 0.0000 0.0000 0.0000
As2 As 0.0000 0.5000 0.6284
As3 As 0.5000 0.5000 0.0000

# Pr2Ge5Pd3 GGA-PBE relaxed
# **Total DFT energy (no corrections)**: -55.81 eV per formula unit
# **Energy relative to the elements**: -0.759 eV/atom
# **Total moment**: 0.0 μB per formula unit
data_Pr2Ge5Pd3
_cell_length_a 10.2895
_cell_length_b 12.2052
_cell_length_c 6.2475
_cell_angle_alpha 90.00
_cell_angle_beta 90.00
_cell_angle_gamma 90.00
_space_group_name_H-M_alt 'I b a m'
_space_group_IT_number 72
_space_group_name_Hall '-I 2 2c'
loop_
_atom_site_label
_atom_site_type_symbol
_atom_site_fract_x
_atom_site_fract_y
_atom_site_fract_z
Pr1 Pr 0.2321 0.1297 0.0000
Ge1 Ge 0.0000 0.0000 0.2500
Ge2 Ge 0.0000 0.2739 0.2500
Ge3 Ge 0.1546 0.3932 0.0000
Pd1 Pd 0.0000 0.5000 0.2500
Pd2 Pd 0.1097 0.1397 0.5000

# TlGaSb GGA-PBE relaxed
# **Formation energy from raw total energies**: 0.063 eV per atom
# **Total DFT energy (no corrections)**: -9.33 eV per formula unit
# **Total moment**: 0.0 μB per formula unit
# **Offset from the most stable computed form**: 1.55 kcal/mol of atoms
data_TlGaSb
_cell_length_a 3.5961
_cell_length_b 3.5961
_cell_length_c 12.4441
_cell_angle_alpha 90.00
_cell_angle_beta 90.00
_cell_angle_gamma 90.00
_space_group_name_H-M_alt 'I 4 m m'
_space_group_IT_number 107
_space_group_name_Hall 'I 4 -2'
loop_
_atom_site_label
_atom_site_type_symbol
_atom_site_fract_x
_atom_site_fract_y
_atom_site_fract_z
Tl1 Tl 0.0000 0.0000 0.0000
Ga1 Ga 0.0000 0.0000 0.3229
Sb1 Sb 0.0000 0.0000 0.6939

- What is the total moment in the third record?
  0.0 μB per formula unit